(1)
# Sm8Tl2Sn (PBE-GGA, relaxed)
# Calculated volume in Å³ per cell: 697.3
# Energy in eV/cell: -96.85
# Crystal system: monoclinic
# DFT formation energy in eV per atom: -0.18
data_Sm8Tl2Sn
_chemical_formula_sum 'Sm16 Tl4 Sn2'
_symmetry_space_group_name_H-M 'C 1 2/m 1'
_symmetry_Int_Tables_number 12
_cell_length_a 8.902
_cell_length_b 15.077
_cell_length_c 5.639
_cell_angle_alpha 90.00
_cell_angle_beta 112.88
_cell_angle_gamma 90.00
loop_
_symmetry_equiv_pos_as_xyz
'x,y,z'
'-x,-y,-z'
'-x,y,-z'
'x,-y,z'
'x+1/2,y+1/2,z'
'-x+1/2,-y+1/2,-z'
'-x+1/2,y+1/2,-z'
'x+1/2,-y+1/2,z'
loop_
_atom_site_label
_atom_site_type_symbol
_atom_site_fract_x
_atom_site_fract_y
_atom_site_fract_z
Sm1 Sm 0.000 0.220 0.000
Sm2 Sm 0.100 0.500 0.798
Sm3 Sm 0.201 0.110 0.607
Tl1 Tl 0.000 0.307 0.500
Sn1 Sn 0.000 0.000 0.000

=====

(2)
# PaIrAu (PBE-GGA, relaxed)
# Calculated volume in Å³ per cell: 124.1
# Energy in eV/cell: -46.27
# Crystal system: tetragonal
# DFT formation energy in eV per atom: -0.50
# Relative energy among the computed polymorphs in eV per atom: 0.000
data_PaIrAu
_chemical_formula_sum 'Pa2 Ir2 Au2'
_symmetry_space_group_name_H-M 'I 4 m m'
_symmetry_Int_Tables_number 107
_symmetry_space_group_name_Hall 'I 4 -2'
_cell_length_a 3.653
_cell_length_b 3.653
_cell_length_c 9.295
_cell_angle_alpha 90.00
_cell_angle_beta 90.00
_cell_angle_gamma 90.00
loop_
_atom_site_label
_atom_site_type_symbol
_atom_site_fract_x
_atom_site_fract_y
_atom_site_fract_z
Pa1 Pa 0.000 0.000 0.000
Ir1 Ir 0.000 0.000 0.365
Au1 Au 0.000 0.000 0.683